Entry 1:
Compound: AcLaEr3
Source: the Alexandria database
Functional: GGA-PBE
Structure: relaxed

Cell and atoms, written as CIF:
```
data_AcLaEr3
_chemical_formula_sum 'Ac4 La4 Er12'
_cell_length_a 9.4643
_cell_length_b 6.4502
_cell_length_c 12.5143
_cell_angle_alpha 90.00
_cell_angle_beta 114.05
_cell_angle_gamma 90.00
_space_group_name_H-M_alt 'P 1 21/c 1'
_space_group_IT_number 14
loop_
_space_group_symop_operation_xyz
'x,y,z'
'-x,-y,-z'
'-x,y+1/2,-z+1/2'
'x,-y+1/2,z+1/2'
loop_
_atom_site_label
_atom_site_type_symbol
_atom_site_fract_x
_atom_site_fract_y
_atom_site_fract_z
Ac1 Ac 0.1555 0.1703 0.1033
La1 La 0.2612 0.6657 0.0020
Er1 Er 0.0515 0.6643 0.2040
Er2 Er 0.3531 0.1609 0.9003
Er3 Er 0.4478 0.6746 0.7999
```

E_tot = -22.46 eV/f.u.

Entry 2:
Compound: AlAg2Pt
Source: the Alexandria database
Functional: GGA-PBE
Structure: relaxed

Cell and atoms, written as CIF:
```
data_AlAg2Pt
_chemical_formula_sum 'Al1 Ag2 Pt1'
_cell_length_a 3.8751
_cell_length_b 3.8751
_cell_length_c 4.3489
_cell_angle_alpha 90.00
_cell_angle_beta 90.00
_cell_angle_gamma 90.00
_space_group_name_H-M_alt 'P 4/m m m'
_space_group_IT_number 123
_space_group_name_Hall '-P 4 2'
loop_
_atom_site_label
_atom_site_type_symbol
_atom_site_fract_x
_atom_site_fract_y
_atom_site_fract_z
Al1 Al 0.0000 0.0000 0.0000
Ag1 Ag 0.0000 0.5000 0.5000
Pt1 Pt 0.5000 0.5000 0.0000
```

E_tot = -16.60 eV/f.u.

Entry 3:
Compound: Tb2CeAu
Source: the Alexandria database
Functional: GGA-PBE
Structure: relaxed

Cell and atoms, written as CIF:
```
data_Tb2CeAu
_chemical_formula_sum 'Tb2 Ce1 Au1'
_cell_length_a 3.6220
_cell_length_b 3.6220
_cell_length_c 8.2195
_cell_angle_alpha 90.00
_cell_angle_beta 90.00
_cell_angle_gamma 90.00
_space_group_name_H-M_alt 'P 4/m m m'
_space_group_IT_number 123
_space_group_name_Hall '-P 4 2'
loop_
_atom_site_label
_atom_site_type_symbol
_atom_site_fract_x
_atom_site_fract_y
_atom_site_fract_z
Tb1 Tb 0.0000 0.0000 0.2133
Ce1 Ce 0.5000 0.5000 0.5000
Au1 Au 0.5000 0.5000 0.0000
```

E_tot = -19.92 eV/f.u.

Entry 4:
Compound: Te4PdRu
Source: the Alexandria database
Functional: GGA-PBE
Structure: relaxed

Cell and atoms, written as CIF:
```
data_Te4PdRu
_chemical_formula_sum 'Te4 Pd1 Ru1'
_cell_length_a 5.4815
_cell_length_b 3.9883
_cell_length_c 6.8962
_cell_angle_alpha 90.00
_cell_angle_beta 90.59
_cell_angle_gamma 90.00
_space_group_name_H-M_alt 'P 1 2/m 1'
_space_group_IT_number 10
loop_
_space_group_symop_operation_xyz
'x,y,z'
'-x,-y,-z'
'-x,y,-z'
'x,-y,z'
loop_
_atom_site_label
_atom_site_type_symbol
_atom_site_fract_x
_atom_site_fract_y
_atom_site_fract_z
Te1 Te 0.2381 0.0000 0.1479
Te2 Te 0.2479 0.5000 0.6709
Pd1 Pd 0.5000 0.0000 0.5000
Ru1 Ru 0.5000 0.5000 0.0000
```

E_tot = -28.42 eV/f.u.
formation energy (no corrections) = -0.231 eV per atom